VASP calculation (PBE) on an optimized crystal structure of Zr3AlV.

```
Zr3AlV
1.0
4.855 0.000 0.000
0.000 4.855 0.000
0.000 0.000 4.855
Al Zr V
1 3 1
Cartesian
2.428 2.428 2.428
0.000 2.428 0.000
0.000 0.000 2.428
2.428 0.000 0.000
0.000 0.000 0.000
```

Results
* spin magnetization: 0.000 μB/atom
* ΔH_f (0 K): 0.562 eV/atom
* DFT total energy: -35.69 eV for the cell shown
* D(E_F): 1.0562 states/eV/atom
* space group: Pm-3m, No. 221

VASP calculation (PBE) on an optimized crystal structure of RbCo2CuBr6.

```
RbCo2CuBr6
1.0
-4.633 -0.382 5.960
4.700 -6.019 6.481
2.156 8.148 5.412
Rb Co Cu Br
2 4 2 12
Cartesian
3.236 -4.414 7.843
-1.013 6.161 10.010
3.406 0.325 10.277
1.501 -0.435 4.751
-1.183 1.423 7.576
0.722 2.182 13.103
1.567 4.882 7.141
0.656 -3.135 10.712
5.227 0.482 11.837
-0.220 -1.145 3.232
-3.003 1.265 6.016
2.443 2.893 14.621
2.663 -1.971 10.159
2.989 -2.288 5.182
-0.440 3.718 7.694
-0.766 4.035 12.671
4.274 0.613 8.013
0.529 -0.138 6.970
-2.050 1.135 9.840
1.694 1.886 10.883
```

Results
* formation energy (no corrections): -552 meV per atom
* spin magnetization: 0.601 μB/atom
* DFT total energy: -69.67 eV for the cell shown
* space group: C2/c, No. 15